## w
Material: DyYErSc
Method: DFT, GGA-PBE
State: relaxed

abc: 5.9926 5.9926 5.9926
angles: 131.47 131.47 71.07
Last column: nearest neighbours and their distance in Å.
Sites, in units of the cell vectors:
Dy (0.0000, 0.0000, 0.0000)  4 Er 3.47, 4 Y 3.47, 4 Sc 3.48
Y (0.2500, 0.7500, 0.5000)  4 Sc 3.47, 4 Dy 3.47, 4 Er 3.48
Er (0.7500, 0.2500, 0.5000)  4 Sc 3.47, 4 Dy 3.47, 4 Y 3.48
Sc (0.5000, 0.5000, 0.0000)  4 Er 3.47, 4 Y 3.47, 4 Dy 3.48

Calculated values
V, Å³ per cell: 118

## x
Material: DyYErSc
Method: DFT, GGA-PBE
State: relaxed

abc: 5.5311 5.5311 5.5311
angles: 60.00 60.00 60.00
Last column: nearest neighbours and their distance in Å.
Sites, in units of the cell vectors:
Dy (0.0000, 0.0000, 0.0000)  4 Er 3.39, 4 Sc 3.39
Y (0.5000, 0.5000, 0.5000)  4 Er 3.39, 4 Sc 3.39
Er (0.7500, 0.7500, 0.7500)  4 Dy 3.39, 4 Y 3.39
Sc (0.2500, 0.2500, 0.2500)  4 Dy 3.39, 4 Y 3.39

Calculated values
V, Å³ per cell: 120

How far above the most stable structure does each one sit? In meV/atom: w 0; x 81.

## w
Material: DyErScZn
Method: DFT, GGA-PBE
State: relaxed

abc: 5.1915 5.1915 5.1915
angles: 60.00 60.00 60.00
Last column: nearest neighbours and their distance in Å.
Sites, in units of the cell vectors:
Dy (0.0000, 0.0000, 0.0000)  4 Zn 3.18, 4 Sc 3.18
Er (0.5000, 0.5000, 0.5000)  4 Zn 3.18, 4 Sc 3.18
Sc (0.2500, 0.2500, 0.2500)  4 Dy 3.18, 4 Er 3.18
Zn (0.7500, 0.7500, 0.7500)  4 Dy 3.18, 4 Er 3.18

Calculated values
V, Å³ per cell: 99

## x
Material: DyErScZn
Method: DFT, GGA-PBE
State: relaxed

abc: 3.4997 3.4997 8.2353
angles: 90.00 90.00 90.00
Last column: nearest neighbours and their distance in Å.
Sites, in units of the cell vectors:
Dy (0.0000, 0.0000, 0.0000)  4 Zn 3.07, 4 Sc 3.40
Er (0.0000, 0.0000, 0.5642)  4 Zn 3.04, 4 Sc 3.39
Sc (0.5000, 0.5000, 0.2836)  4 Er 3.39, 4 Dy 3.40, 4 Sc 3.50
Zn (0.5000, 0.5000, 0.7786)  4 Er 3.04, 4 Dy 3.07

Calculated values
V, Å³ per cell: 101

How far above the most stable structure does each one sit? In meV/atom: w 139; x 0.

## w
Material: DyEr3Se4
Method: DFT, GGA-PBE
State: relaxed

abc: 7.0420 8.0009 7.0361
angles: 90.00 109.21 90.00
Last column: nearest neighbours and their distance in Å.
Sites, in units of the cell vectors:
Dy (0.0000, 0.1243, 0.2500)  6 Se 2.87-2.88
Dy (0.0000, 0.8757, 0.7500)  6 Se 2.87-2.88
Er (0.0000, 0.3741, 0.7500)  6 Se 2.85-2.87
Er (0.0000, 0.6259, 0.2500)  6 Se 2.85-2.87
Er (0.5000, 0.1244, 0.7500)  6 Se 2.85-2.86
Er (0.5000, 0.3744, 0.2500)  6 Se 2.84-2.87
Er (0.5000, 0.6256, 0.7500)  6 Se 2.84-2.87
Er (0.5000, 0.8756, 0.2500)  6 Se 2.85-2.86
Se (0.2510, 0.3764, 0.5012)  5 Er 2.84-2.87, 1 Dy 2.87
Se (0.2510, 0.6236, 0.0012)  5 Er 2.84-2.87, 1 Dy 2.87
Se (0.2527, 0.1263, 0.0000)  4 Er 2.84-2.85, 2 Dy 2.87-2.88
Se (0.2527, 0.8737, 0.5000)  4 Er 2.84-2.85, 2 Dy 2.87-2.88
Se (0.7473, 0.1263, 0.5000)  4 Er 2.84-2.85, 2 Dy 2.87-2.88
Se (0.7473, 0.8737, 0.0000)  4 Er 2.84-2.85, 2 Dy 2.87-2.88
Se (0.7490, 0.3764, 0.9988)  5 Er 2.84-2.87, 1 Dy 2.87
Se (0.7490, 0.6236, 0.4988)  5 Er 2.84-2.87, 1 Dy 2.87

Calculated values
V, Å³ per cell: 374

## x
Material: DyEr3Se4
Method: DFT, GGA-PBE
State: relaxed

abc: 5.7231 5.7231 5.7231
angles: 90.00 90.00 90.00
Last column: nearest neighbours and their distance in Å.
Sites, in units of the cell vectors:
Dy (0.0000, 0.0000, 0.0000)  6 Se 2.86
Er (0.0000, 0.5000, 0.5000)  6 Se 2.86
Er (0.5000, 0.0000, 0.5000)  6 Se 2.86
Er (0.5000, 0.5000, 0.0000)  6 Se 2.86
Se (0.0000, 0.0000, 0.5000)  2 Dy 2.86, 4 Er 2.86
Se (0.0000, 0.5000, 0.0000)  2 Dy 2.86, 4 Er 2.86
Se (0.5000, 0.0000, 0.0000)  2 Dy 2.86, 4 Er 2.86
Se (0.5000, 0.5000, 0.5000)  6 Er 2.86

Calculated values
V, Å³ per cell: 187

How far above the most stable structure does each one sit? In meV/atom: w 0; x 14.

## w
Material: Dy2ErSe
Method: DFT, GGA-PBE
State: relaxed

abc: 9.6032 9.6032 9.6032
angles: 22.71 22.71 22.71
Last column: nearest neighbours and their distance in Å.
Sites, in units of the cell vectors:
Dy (0.0000, 0.0000, 0.0000)  3 Se 2.87
Dy (0.2007, 0.2007, 0.2007)  3 Se 2.87
Er (0.7676, 0.7676, 0.7676)  6 Dy 3.55-3.58, 6 Er 3.78
Se (0.6004, 0.6004, 0.6004)  6 Dy 2.87

Calculated values
V, Å³ per cell: 116

## x
Material: Dy2ErSe
Method: DFT, GGA-PBE
State: relaxed

abc: 10.5111 10.5111 10.5111
angles: 20.27 20.27 20.27
Last column: nearest neighbours and their distance in Å.
Sites, in units of the cell vectors:
Dy (0.1080, 0.1080, 0.1080)  3 Se 2.80
Dy (0.8920, 0.8920, 0.8920)  3 Se 2.80
Er (0.0000, 0.0000, 0.0000)  2 Dy 3.33, 6 Er 3.70
Se (0.5000, 0.5000, 0.5000)  6 Dy 2.80

Calculated values
V, Å³ per cell: 122

## y
Material: Dy2ErSe
Method: DFT, GGA-PBE
State: relaxed

abc: 3.5975 3.5975 8.4230
angles: 90.00 90.00 90.00
Last column: nearest neighbours and their distance in Å.
Sites, in units of the cell vectors:
Dy (0.0000, 0.0000, 0.2101)  4 Se 3.10
Dy (0.0000, 0.0000, 0.7899)  4 Se 3.10
Er (0.5000, 0.5000, 0.5000)  8 Dy 3.53, 4 Er 3.60
Se (0.5000, 0.5000, 0.0000)  8 Dy 3.10

Calculated values
V, Å³ per cell: 109

How far above the most stable structure does each one sit? In meV/atom: w 0; x 280; y 122.

## w
Material: Sm2Dy7Er2
Method: DFT, GGA-PBE
State: relaxed

abc: 8.0115 8.0115 6.0239
angles: 105.82 105.82 91.72
Last column: nearest neighbours and their distance in Å.
Sites, in units of the cell vectors:
Sm (0.2155, 0.7845, 0.0000)  6 Dy 3.27-3.49
Sm (0.7845, 0.2155, 0.0000)  6 Dy 3.27-3.49
Dy (0.0000, 0.0000, 0.5000)  6 Dy 3.26-3.47
Dy (0.0615, 0.5904, 0.3270)  3 Dy 3.18-3.35, 2 Sm 3.27-3.44
Dy (0.2341, 0.2341, 0.0861)  5 Dy 3.35-3.56, 3 Er 3.41-3.66, 2 Sm 3.49
Dy (0.4096, 0.9385, 0.6730)  3 Dy 3.18-3.35, 2 Sm 3.27-3.44
Dy (0.5904, 0.0615, 0.3270)  3 Dy 3.18-3.35, 2 Sm 3.27-3.44
Dy (0.7659, 0.7659, 0.9139)  5 Dy 3.35-3.56, 3 Er 3.41-3.66, 2 Sm 3.49
Dy (0.9385, 0.4096, 0.6730)  3 Dy 3.18-3.35, 2 Sm 3.27-3.44
Er (0.4099, 0.4099, 0.6948)  7 Dy 3.41-3.74, 2 Er 3.43-3.64, 2 Sm 3.69
Er (0.5901, 0.5901, 0.3052)  7 Dy 3.41-3.74, 2 Er 3.43-3.64, 2 Sm 3.69

Calculated values
V, Å³ per cell: 356

## x
Material: Sm2Dy7Er2
Method: DFT, GGA-PBE
State: relaxed

abc: 6.4772 6.4772 8.6864
angles: 98.04 98.04 93.36
Last column: nearest neighbours and their distance in Å.
Sites, in units of the cell vectors:
Sm (0.1773, 0.8227, 0.0000)  1 Sm 3.34, 6 Dy 3.36-3.61, 4 Er 3.48-3.49
Sm (0.8227, 0.1773, 0.0000)  1 Sm 3.34, 6 Dy 3.36-3.61, 4 Er 3.48-3.49
Dy (0.0557, 0.4183, 0.7080)  2 Sm 3.36-3.61, 5 Dy 3.40-3.66, 2 Er 3.62-3.72
Dy (0.1067, 0.1067, 0.3562)  8 Dy 3.40-3.49, 1 Er 3.45, 2 Sm 3.47
Dy (0.4183, 0.0557, 0.7080)  2 Sm 3.36-3.61, 5 Dy 3.40-3.66, 2 Er 3.62-3.72
Dy (0.5000, 0.5000, 0.5000)  6 Dy 3.46-3.66, 2 Er 3.50
Dy (0.5817, 0.9443, 0.2920)  2 Sm 3.36-3.61, 5 Dy 3.40-3.66, 2 Er 3.62-3.72
Dy (0.8933, 0.8933, 0.6438)  8 Dy 3.40-3.49, 1 Er 3.45, 2 Sm 3.47
Dy (0.9443, 0.5817, 0.2920)  2 Sm 3.36-3.61, 5 Dy 3.40-3.66, 2 Er 3.62-3.72
Er (0.3516, 0.3516, 0.0950)  1 Er 3.38, 6 Dy 3.45-3.72, 4 Sm 3.48-3.49
Er (0.6484, 0.6484, 0.9050)  1 Er 3.38, 6 Dy 3.45-3.72, 4 Sm 3.48-3.49

Calculated values
V, Å³ per cell: 356

How far above the most stable structure does each one sit? In meV/atom: w 45; x 0.